No. 1
Te2IrOs: optimized geometry, PBE.

## Properties
Total energy: -44.52 eV per cell
D(E_F): 7.704 states/eV per cell
Size of the total moment: 0.000 μB per cell
Volume: 19.14 A^3/atom

Lattice parameters (Å, degrees): 6.093 9.397 3.074 90.00 119.54 90.00
Space group C2/m (No. 12)
Unique sites:
Te  0.250  0.250  0.000 x4
Ir  0.000  0.000  0.500 x2
Os  0.000  0.500  0.500 x2

***

No. 2
TeIr2Os: optimized geometry, PBE.

## Properties
Total energy: -59.77 eV per cell
D(E_F): 6.314 states/eV per cell
Size of the total moment: 0.000 μB per cell
Volume: 16.24 A^3/atom

Lattice parameters (Å, degrees): 5.576 7.980 2.920 90.00 90.00 90.00
Space group Cmmm (No. 65)
Unique sites:
Te  0.000  0.000  0.000 x2
Ir  0.250  0.250  0.500 x4
Os  0.000  0.500  0.000 x2

***

No. 3
TeIr4Os: optimized geometry, PBE.

## Properties
Total energy: -177.58 eV per cell
D(E_F): 40.765 states/eV per cell
Size of the total moment: 7.166 μB per cell
Volume: 16.86 A^3/atom

Lattice parameters (Å, degrees): 7.396 7.396 7.396 90.00 90.00 90.00
Space group F-43m (No. 216)
Unique sites:
Te  0.000  0.000  0.000 x4
Ir  0.124  0.124  0.624 x16
Os  0.250  0.250  0.250 x4

***

No. 4
TeIrOs3: optimized geometry, PBE.

## Properties
Total energy: -34.56 eV per cell
D(E_F): 8.080 states/eV per cell
Size of the total moment: 0.000 μB per cell
Volume: 21.41 A^3/atom

Lattice parameters (Å, degrees): 4.748 4.748 4.748 90.00 90.00 90.00
Space group Pm-3m (No. 221)
Unique sites:
Te  0.000  0.000  0.000 x1
Ir  0.500  0.500  0.500 x1
Os  0.000  0.500  0.500 x3